The following is a PBE-GGA calculation of a geometry-optimized ZnHgSb2 structure, from Alexandria via LeMat-Bulk.

```
ZnHgSb2
1.0
-3.176 3.176 6.246
3.176 -3.176 6.246
3.176 3.176 -6.246
Zn Hg Sb
2 2 4
Cartesian
0.000 0.000 0.000 Zn
0.000 3.176 3.123 Zn
3.176 0.000 3.123 Hg
0.000 0.000 6.246 Hg
4.763 1.415 -1.562 Sb
1.415 1.588 1.562 Sb
-1.588 1.761 4.685 Sb
1.761 1.588 7.808 Sb
```

Values from the calculation:
SG: No. 122
VASP energy in eV per atom: -2.28
E above lowest polymorph in eV/atom: 0.0817
ΔE_f (raw) in meV/atom: 179


The following is a PBE-GGA calculation of a geometry-optimized ZnHgSb2 structure, from Alexandria via LeMat-Bulk.

```
ZnHgSb2
1.0
3.585 -2.055 0.000
3.585 2.055 0.000
-2.264 0.000 7.194
Zn Hg Sb
1 1 2
Cartesian
0.000 0.000 0.000 Zn
0.091 0.000 5.689 Hg
2.429 0.000 3.546 Sb
4.810 0.000 1.761 Sb
```

Values from the calculation:
SG: No. 8
VASP energy in eV per atom: -2.36
E above lowest polymorph in eV/atom: 0.0000
ΔE_f (raw) in meV/atom: 97


The following is a PBE-GGA calculation of a geometry-optimized Zn2HgSb structure, from Alexandria via LeMat-Bulk.

```
Zn2HgSb
1.0
3.920 0.000 0.000
0.000 4.141 0.000
0.000 0.000 5.349
Zn Hg Sb
2 1 1
Cartesian
0.000 0.000 0.000 Zn
0.000 2.070 2.675 Zn
1.960 0.000 2.675 Hg
1.960 2.070 0.000 Sb
```

Values from the calculation:
SG: No. 47
VASP energy in eV per atom: -1.58
E above lowest polymorph in eV/atom: 0.0674
ΔE_f (raw) in meV/atom: 165


The following is a PBE-GGA calculation of a geometry-optimized ZnHg3Sb structure, from Alexandria via LeMat-Bulk.

```
ZnHg3Sb
1.0
5.836 0.000 0.000
0.000 5.836 0.000
0.000 0.000 5.836
Zn Hg Sb
1 3 1
Cartesian
0.000 0.000 0.000 Zn
0.000 2.918 2.918 Hg
2.918 0.000 2.918 Hg
2.918 2.918 0.000 Hg
2.918 2.918 2.918 Sb
```

Values from the calculation:
SG: No. 221
VASP energy in eV per atom: -0.95
E above lowest polymorph in eV/atom: 0.0000
ΔE_f (raw) in meV/atom: 307


The following is a PBE-GGA calculation of a geometry-optimized ZnHgSb structure, from Alexandria via LeMat-Bulk.

```
ZnHgSb
1.0
4.295 0.000 0.000
-2.147 3.719 0.000
0.000 0.000 4.611
Zn Hg Sb
1 1 1
Cartesian
0.000 0.000 0.000 Zn
2.147 1.240 1.543 Hg
0.000 2.479 3.447 Sb
```

Values from the calculation:
SG: No. 156
VASP energy in eV per atom: -1.78
E above lowest polymorph in eV/atom: 0.0982
ΔE_f (raw) in meV/atom: 120


The following is a PBE-GGA calculation of a geometry-optimized ZnHgSb2 structure, from Alexandria via LeMat-Bulk.

```
ZnHgSb2
1.0
3.386 -4.327 0.000
3.386 4.327 0.000
-0.988 0.000 3.394
Zn Hg Sb
1 1 2
Cartesian
0.000 0.000 0.000 Zn
3.386 0.000 0.000 Hg
1.199 2.163 1.697 Sb
1.199 -2.163 1.697 Sb
```

Values from the calculation:
SG: No. 12
VASP energy in eV per atom: -2.24
E above lowest polymorph in eV/atom: 0.1198
ΔE_f (raw) in meV/atom: 217


The following is a PBE-GGA calculation of a geometry-optimized Zn2HgSb2 structure, from Alexandria via LeMat-Bulk.

```
Zn2HgSb2
1.0
8.443 0.000 0.000
0.000 8.443 0.000
0.000 0.000 3.265
Zn Hg Sb
4 2 4
Cartesian
1.243 2.979 0.000 Zn
2.979 7.200 0.000 Zn
5.464 1.243 0.000 Zn
7.200 5.464 0.000 Zn
0.000 0.000 0.000 Hg
4.222 4.222 0.000 Hg
1.249 5.471 1.632 Sb
2.973 1.249 1.632 Sb
5.471 7.194 1.632 Sb
7.194 2.973 1.632 Sb
```

Values from the calculation:
SG: No. 127
VASP energy in eV per atom: -2.05
E above lowest polymorph in eV/atom: 0.0965
ΔE_f (raw) in meV/atom: 172


The following is a PBE-GGA calculation of a geometry-optimized ZnHg3Sb structure, from Alexandria via LeMat-Bulk.

```
ZnHg3Sb
1.0
5.189 0.000 0.000
0.000 5.189 0.000
0.000 0.000 5.189
Zn Hg Sb
1 3 1
Cartesian
0.000 0.000 0.000 Zn
0.000 0.000 2.594 Hg
0.000 2.594 0.000 Hg
2.594 0.000 0.000 Hg
2.594 2.594 2.594 Sb
```

Values from the calculation:
SG: No. 221
VASP energy in eV per atom: -0.92
E above lowest polymorph in eV/atom: 0.0352
ΔE_f (raw) in meV/atom: 343


The following is a PBE-GGA calculation of a geometry-optimized Zn2HgSb structure, from Alexandria via LeMat-Bulk.

```
Zn2HgSb
1.0
1.937 -2.627 0.000
1.937 2.627 0.000
0.000 0.000 8.586
Zn Hg Sb
2 1 1
Cartesian
0.000 0.000 2.082 Zn
0.000 0.000 6.504 Zn
1.937 0.000 0.000 Hg
1.937 0.000 4.293 Sb
```

Values from the calculation:
SG: No. 65
VASP energy in eV per atom: -1.56
E above lowest polymorph in eV/atom: 0.0804
ΔE_f (raw) in meV/atom: 178


The following is a PBE-GGA calculation of a geometry-optimized ZnHgSb structure, from Alexandria via LeMat-Bulk.

```
ZnHgSb
1.0
4.456 0.000 0.000
2.211 3.973 0.000
0.109 0.142 9.330
Zn Hg Sb
2 2 2
Cartesian
1.168 0.089 3.741 Zn
5.609 4.026 5.589 Zn
3.426 3.312 8.487 Hg
3.351 0.803 0.843 Hg
1.167 1.388 6.288 Sb
5.609 2.727 3.042 Sb
```

Values from the calculation:
SG: No. 2
VASP energy in eV per atom: -1.88
E above lowest polymorph in eV/atom: 0.0000
ΔE_f (raw) in meV/atom: 22


The following is a PBE-GGA calculation of a geometry-optimized Zn2HgSb structure, from Alexandria via LeMat-Bulk.

```
Zn2HgSb
1.0
-2.040 2.040 5.174
2.040 -2.040 5.174
2.040 2.040 -5.174
Zn Hg Sb
2 1 1
Cartesian
0.000 0.000 0.000 Zn
0.000 2.040 2.587 Zn
2.040 0.000 2.587 Hg
0.000 0.000 5.174 Sb
```

Values from the calculation:
SG: No. 119
VASP energy in eV per atom: -1.56
E above lowest polymorph in eV/atom: 0.0862
ΔE_f (raw) in meV/atom: 184


The following is a PBE-GGA calculation of a geometry-optimized Zn3HgSb structure, from Alexandria via LeMat-Bulk.

```
Zn3HgSb
1.0
5.401 0.000 0.000
0.000 5.401 0.000
0.000 0.000 5.401
Zn Hg Sb
3 1 1
Cartesian
0.000 0.000 2.700 Zn
0.000 2.700 0.000 Zn
2.700 0.000 0.000 Zn
2.700 2.700 2.700 Hg
0.000 0.000 0.000 Sb
```

Values from the calculation:
SG: No. 221
VASP energy in eV per atom: -1.25
E above lowest polymorph in eV/atom: 0.0000
ΔE_f (raw) in meV/atom: 402